ZnCo2Ir2: relaxed, PBE.

```
ZnCo2Ir2
1.0
7.139 0.000 0.000
0.000 7.139 0.000
0.000 0.000 2.685
Zn Co Ir
2 4 4
direct
0.000 0.000 0.000
0.500 0.500 0.000
0.120 0.380 0.000
0.380 0.880 0.000
0.620 0.120 0.000
0.880 0.620 0.000
0.175 0.675 0.500
0.325 0.175 0.500
0.675 0.825 0.500
0.825 0.325 0.500
```

Total moment = 3.06 μB/f.u.
ΔE to the lowest computed polymorph = 0.0 meV per atom
DFT total energy = -64.66 eV for the cell shown
DFT formation energy = 85 kJ/mol of formula units
V = 13.68 A^3/atom
Space group = P4/mbm (127)